# 1
# Tl2HgSbO6 PBE-GGA optimized geometry
data_Tl2HgSbO6
_chemical_formula_sum 'Tl2 Hg1 Sb1 O6'
_cell_length_a 5.830
_cell_length_b 5.831
_cell_length_c 6.263
_cell_angle_alpha 62.29
_cell_angle_beta 89.97
_cell_angle_gamma 60.01
_space_group_name_H-M_alt 'P 1'
_space_group_IT_number 1
loop_
_space_group_symop_operation_xyz
'x,y,z'
loop_
_atom_site_label
_atom_site_fract_x
_atom_site_fract_y
_atom_site_fract_z
Tl1 0.000 0.000 0.000
Tl2 0.474 0.052 0.422
Hg1 0.247 0.505 0.742
Sb1 0.683 0.634 0.048
O1 0.036 0.200 0.236
O2 0.315 0.067 0.792
O3 0.435 0.529 0.236
O4 0.618 0.523 0.792
O5 0.765 0.800 0.236
O6 0.860 0.826 0.792
# **Final energy**: -4.712 eV/atom
# **Theoretical density**: 8.83 g cm⁻³
# **Crystal system**: triclinic
# **Formation energy without anion corrections**: -0.82 eV/atom
# **Size of the total moment**: 0.00 Bohr magnetons per cell

***

# 2
# Sc2NbOs3 PBE-GGA optimized geometry
data_Sc2NbOs3
_chemical_formula_sum 'Sc8 Nb4 Os12'
_cell_length_a 4.529
_cell_length_b 13.564
_cell_length_c 6.435
_cell_angle_alpha 90.00
_cell_angle_beta 90.00
_cell_angle_gamma 90.00
_space_group_name_H-M_alt 'C m m m'
_space_group_IT_number 65
_space_group_name_Hall '-C 2 2'
loop_
_atom_site_label
_atom_site_fract_x
_atom_site_fract_y
_atom_site_fract_z
Sc1 0.000 0.000 0.000
Sc2 0.000 0.000 0.500
Sc3 0.000 0.334 0.000
Nb1 0.000 0.335 0.500
Os1 0.000 0.169 0.259
Os2 0.000 0.500 0.256
# **Final energy**: -9.837 eV/atom
# **Theoretical density**: 12.66 g cm⁻³
# **Crystal system**: orthorhombic
# **Size of the total moment**: 0.00 Bohr magnetons per cell

***

# 3
# Si2IrW PBE-GGA optimized geometry
data_Si2IrW
_chemical_formula_sum 'Si2 Ir1 W1'
_cell_length_a 2.851
_cell_length_b 3.842
_cell_length_c 5.257
_cell_angle_alpha 90.00
_cell_angle_beta 90.00
_cell_angle_gamma 90.00
_space_group_name_H-M_alt 'P m m m'
_space_group_IT_number 47
loop_
_space_group_symop_operation_xyz
'x,y,z'
'-x,-y,-z'
'-x,-y,z'
'x,y,-z'
'x,-y,-z'
'-x,y,z'
'-x,y,-z'
'x,-y,z'
loop_
_atom_site_label
_atom_site_fract_x
_atom_site_fract_y
_atom_site_fract_z
Si1 0.000 0.000 0.232
Ir1 0.000 0.500 0.500
W1 0.500 0.500 0.000
# **Final energy**: -8.375 eV/atom
# **Theoretical density**: 12.46 g cm⁻³
# **Crystal system**: orthorhombic
# **Formation energy without anion corrections**: -0.21 eV/atom
# **Size of the total moment**: 0.00 Bohr magnetons per cell
# **Offset from the most stable computed form**: 93 meV per atom